MgScW | Alexandria | PBE | relaxed; SG = P3m1 (156); distance to the lowest polymorph of the same formula = 0.1143 eV/atom; V = 56.2 Å³/cell; final energy = -19.75 eV for the cell shown
1.0
4.911 0.000 0.000
-2.456 4.253 0.000
0.000 0.000 2.688
W Sc Mg
1 1 1
Direct
0.667 0.333 0.718
0.333 0.667 0.292
0.000 0.000 0.991